{
  "formula": "NaCoSO",
  "functional": "PBE with a Hubbard U",
  "state": "optimized geometry",
  "lattice": [[6.2627, 0.0000, 0.0000], [0.0000, 5.9809, 0.0000], [-1.5183, 0.0000, 6.4479]],
  "species": ["Na", "Na", "Na", "Na", "Co", "Co", "Co", "Co", "S", "S", "S", "S", "O", "O", "O", "O"],
  "fractional_positions": [[0.1054, 0.2333, 0.4844], [0.1054, 0.2667, 0.9844], [0.8946, 0.7333, 0.0156], [0.8946, 0.7667, 0.5156], [0.4717, 0.6227, 0.7113], [0.4717, 0.8773, 0.2113], [0.5283, 0.1227, 0.7887], [0.5283, 0.3773, 0.2887], [0.2616, 0.6267, 0.3428], [0.2616, 0.8733, 0.8428], [0.7384, 0.1267, 0.1572], [0.7384, 0.3733, 0.6572], [0.3444, 0.1346, 0.2851], [0.3444, 0.3654, 0.7851], [0.6556, 0.6346, 0.2149], [0.6556, 0.8654, 0.7149]],
  "energy_ev_per_atom": -4.68,
  "crystal_system": "monoclinic",
  "m_tot_mub_per_fu": 2.00,
  "polymorph_energy_ev_per_atom": 0.019
}